Record 1
DFT (GGA-PBE) results for a geometry-optimized TcOs3Pd structure.

energy relative to the lowest polymorph listed for this composition: 0.0 meV per atom
E: -38.02 eV per cell

Unit cell a=4.6396 b=4.6396 c=4.6396 alpha=90.00 beta=90.00 gamma=90.00
Closest atoms and distances in Å follow each position.
Fractional positions:
Tc 0.0000 0.0000 0.0000  6 Os 2.32
Os 0.0000 0.0000 0.5000  2 Tc 2.32
Os 0.0000 0.5000 0.0000  2 Tc 2.32
Os 0.5000 0.0000 0.0000  2 Tc 2.32
Pd 0.5000 0.5000 0.5000  12 Os 3.28

---

Record 2
DFT (GGA-PBE) results for a geometry-optimized Tc2Os2Pd structure.

energy relative to the lowest polymorph listed for this composition: 60.7 meV per atom
E: -94.41 eV per cell

Unit cell a=7.5202 b=7.5202 c=2.7413 alpha=90.00 beta=90.00 gamma=90.00
Closest atoms and distances in Å follow each position.
Fractional positions:
Tc 0.1252 0.3748 0.0000  6 Os 2.60-2.61, 3 Tc 2.66-2.74
Tc 0.3748 0.8748 0.0000  6 Os 2.60-2.61, 3 Tc 2.66-2.74
Tc 0.6252 0.1252 0.0000  6 Os 2.60-2.61, 3 Tc 2.66-2.74
Tc 0.8748 0.6252 0.0000  6 Os 2.60-2.61, 3 Tc 2.66-2.74
Os 0.1664 0.6664 0.5000  6 Tc 2.60-2.61, 2 Os 2.74
Os 0.3336 0.1664 0.5000  6 Tc 2.60-2.61, 2 Os 2.74
Os 0.6664 0.8336 0.5000  6 Tc 2.60-2.61, 2 Os 2.74
Os 0.8336 0.3336 0.5000  6 Tc 2.60-2.61, 2 Os 2.74
Pd 0.0000 0.0000 0.0000  2 Pd 2.74, 4 Tc 2.97
Pd 0.5000 0.5000 0.0000  2 Pd 2.74, 4 Tc 2.97

---

Record 3
DFT (GGA-PBE) results for a geometry-optimized Tc2Os2Pd structure.

energy relative to the lowest polymorph listed for this composition: 0.0 meV per atom
E: -95.02 eV per cell

Unit cell a=7.5048 b=7.5048 c=2.7490 alpha=90.00 beta=90.00 gamma=90.00
Closest atoms and distances in Å follow each position.
Fractional positions:
Tc 0.1665 0.3335 0.0000  6 Os 2.59-2.61, 2 Tc 2.75
Tc 0.3335 0.8335 0.0000  6 Os 2.59-2.61, 2 Tc 2.75
Tc 0.6665 0.1665 0.0000  6 Os 2.59-2.61, 2 Tc 2.75
Tc 0.8335 0.6665 0.0000  6 Os 2.59-2.61, 2 Tc 2.75
Os 0.1264 0.6264 0.5000  6 Tc 2.59-2.61, 3 Os 2.68-2.75
Os 0.3736 0.1264 0.5000  6 Tc 2.59-2.61, 3 Os 2.68-2.75
Os 0.6264 0.8736 0.5000  6 Tc 2.59-2.61, 3 Os 2.68-2.75
Os 0.8736 0.3736 0.5000  6 Tc 2.59-2.61, 3 Os 2.68-2.75
Pd 0.0000 0.0000 0.5000  2 Pd 2.75, 4 Os 2.96
Pd 0.5000 0.5000 0.5000  2 Pd 2.75, 4 Os 2.96

---

Record 4
DFT (GGA-PBE) results for a geometry-optimized TcOsPd3 structure.

energy relative to the lowest polymorph listed for this composition: 0.0 meV per atom
E: -28.49 eV per cell

Unit cell a=4.7801 b=4.7801 c=4.7801 alpha=90.00 beta=90.00 gamma=90.00
Closest atoms and distances in Å follow each position.
Fractional positions:
Tc 0.0000 0.0000 0.0000  12 Pd 3.38
Os 0.5000 0.5000 0.5000  6 Pd 2.39
Pd 0.0000 0.5000 0.5000  2 Os 2.39
Pd 0.5000 0.0000 0.5000  2 Os 2.39
Pd 0.5000 0.5000 0.0000  2 Os 2.39

---

Record 5
DFT (GGA-PBE) results for a geometry-optimized TcOsPd3 structure.

energy relative to the lowest polymorph listed for this composition: 238.2 meV per atom
E: -27.30 eV per cell

Unit cell a=4.6859 b=4.6859 c=4.6859 alpha=90.00 beta=90.00 gamma=90.00
Closest atoms and distances in Å follow each position.
Fractional positions:
Tc 0.0000 0.0000 0.0000  6 Pd 2.34
Os 0.5000 0.5000 0.5000  12 Pd 3.31
Pd 0.0000 0.0000 0.5000  2 Tc 2.34
Pd 0.0000 0.5000 0.0000  2 Tc 2.34
Pd 0.5000 0.0000 0.0000  2 Tc 2.34

---

Record 6
DFT (GGA-PBE) results for a geometry-optimized Ti2TcOsPd structure.

E: -38.62 eV per cell

Unit cell a=4.6888 b=4.6888 c=4.6251 alpha=90.00 beta=90.00 gamma=90.00
Closest atoms and distances in Å follow each position.
Fractional positions:
Ti 0.0000 0.5000 0.0000  2 Os 2.34
Ti 0.5000 0.0000 0.0000  2 Os 2.34
Tc 0.0000 0.0000 0.5000  2 Os 2.31
Os 0.0000 0.0000 0.0000  2 Tc 2.31, 4 Ti 2.34
Pd 0.5000 0.5000 0.5000  8 Ti 3.29, 4 Tc 3.32

---

Record 7
DFT (GGA-PBE) results for a geometry-optimized ZnTcOsPd2 structure.

E: -26.02 eV per cell

Unit cell a=4.4646 b=4.4646 c=4.6103 alpha=90.00 beta=90.00 gamma=90.00
Closest atoms and distances in Å follow each position.
Fractional positions:
Zn 0.0000 0.0000 0.0000  4 Pd 2.23, 2 Os 2.31
Tc 0.5000 0.5000 0.5000  4 Os 3.16, 8 Pd 3.21
Os 0.0000 0.0000 0.5000  2 Zn 2.31
Pd 0.0000 0.5000 0.0000  2 Zn 2.23
Pd 0.5000 0.0000 0.0000  2 Zn 2.23

---

Record 8
DFT (GGA-PBE) results for a geometry-optimized Te2OsPd2 structure.

E_form (uncorrected): 0.530 eV per atom
E: -25.25 eV per cell

Unit cell a=8.0569 b=8.0569 c=8.0569 alpha=154.17 beta=154.17 gamma=36.85
Closest atoms and distances in Å follow each position.
Fractional positions:
Te 0.1037 0.1037 0.0000  4 Pd 2.87, 4 Os 3.00, 1 Te 3.17
Te 0.8963 0.8963 0.0000  4 Pd 2.87, 4 Os 3.00, 1 Te 3.17
Os 0.5000 0.5000 0.0000  8 Te 3.00
Pd 0.2500 0.7500 0.5000  4 Pd 2.55
Pd 0.7500 0.2500 0.5000  4 Pd 2.55